# TiTl2S4

Crystalline TiTl2S4 at its relaxed geometry (PBE, Alexandria).

a b c (Å): 6.4695 9.5754 23.0490
angles (deg): 90.00 90.00 90.00
Fractional coordinates of all 56 atoms:
1 S 0.8947 0.5381 0.0877
2 S 0.3947 0.4619 0.4123
3 S 0.7795 0.2702 0.1977
4 S 0.2795 0.2298 0.1977
5 S 0.0798 0.5671 0.1608
6 S 0.7205 0.2702 0.6977
7 S 0.7795 0.7702 0.3023
8 S 0.1053 0.9619 0.5877
9 S 0.8392 0.1836 0.0618
10 S 0.6608 0.1836 0.5618
11 S 0.6053 0.5381 0.5877
12 S 0.2205 0.2298 0.6977
13 S 0.5798 0.9330 0.1608
14 S 0.3947 0.9619 0.0877
15 S 0.9202 0.9330 0.6608
16 S 0.5798 0.4330 0.3392
17 S 0.7205 0.7702 0.8023
18 S 0.6608 0.6836 0.9382
19 S 0.1053 0.4619 0.9123
20 S 0.1608 0.8164 0.9382
21 S 0.4202 0.5671 0.6608
22 S 0.2795 0.7298 0.3023
23 S 0.0798 0.0670 0.3392
24 S 0.4202 0.0670 0.8392
25 S 0.3392 0.8164 0.4382
26 S 0.1608 0.3164 0.5618
27 S 0.8392 0.6836 0.4382
28 S 0.8947 0.0381 0.4123
29 S 0.2205 0.7298 0.8023
30 S 0.9202 0.4330 0.8392
31 S 0.6053 0.0381 0.9123
32 S 0.3392 0.3164 0.0618
33 Tl 0.3271 0.6379 0.0401
34 Tl 0.3974 0.9305 0.7006
35 Tl 0.8271 0.3621 0.4599
36 Tl 0.6026 0.5695 0.2006
37 Tl 0.8271 0.8621 0.0401
38 Tl 0.6729 0.3621 0.9599
39 Tl 0.6729 0.8621 0.5401
40 Tl 0.3271 0.1379 0.4599
41 Tl 0.1026 0.4305 0.2994
42 Tl 0.8974 0.5695 0.7006
43 Tl 0.3974 0.4305 0.7994
44 Tl 0.1729 0.1379 0.9599
45 Tl 0.6026 0.0695 0.2994
46 Tl 0.8974 0.0695 0.7994
47 Tl 0.1026 0.9305 0.2006
48 Tl 0.1729 0.6379 0.5401
49 Ti 0.9620 0.1775 0.6270
50 Ti 0.4620 0.3225 0.6270
51 Ti 0.0380 0.3225 0.1270
52 Ti 0.0380 0.8225 0.3730
53 Ti 0.4620 0.8225 0.8730
54 Ti 0.9620 0.6775 0.8730
55 Ti 0.5380 0.6775 0.3730
56 Ti 0.5380 0.1775 0.1270

Computed properties:
- energy relative to the elements, uncorrected (eV/atom) = -0.722
- crystal system = orthorhombic
- energy above the lowest structure with this stoichiometry (kJ per mole of atoms) = 0.00
- electronic total energy (eV for the cell shown) = -273.54

=====

# Hg3Sb5Te12

Crystalline Hg3Sb5Te12 at its relaxed geometry (PBE, Alexandria).

a b c (Å): 15.6378 15.6378 15.6378
angles (deg): 109.47 109.47 109.47
Fractional coordinates of all 80 atoms:
1 Sb 0.2500 0.8750 0.1250
2 Sb 0.1250 0.3750 0.2500
3 Sb 0.1250 0.7500 0.3750
4 Sb 0.6250 0.7500 0.8750
5 Sb 0.0000 0.0000 0.0000
6 Sb 0.0000 0.0000 0.5000
7 Sb 0.5000 0.5000 0.5000
8 Sb 0.8750 0.2500 0.6250
9 Sb 0.7500 0.6250 0.3750
10 Sb 0.5000 0.0000 0.5000
11 Sb 0.3750 0.2500 0.1250
12 Sb 0.6250 0.8750 0.2500
13 Sb 0.8750 0.6250 0.7500
14 Sb 0.5000 0.5000 0.0000
15 Sb 0.5000 0.0000 0.0000
16 Sb 0.2500 0.3750 0.6250
17 Sb 0.7500 0.1250 0.8750
18 Sb 0.0000 0.5000 0.5000
19 Sb 0.0000 0.5000 0.0000
20 Sb 0.3750 0.1250 0.7500
21 Te 0.8749 0.5984 0.9254
22 Te 0.5984 0.7235 0.6730
23 Te 0.5505 0.2235 0.1251
24 Te 0.6251 0.0505 0.2235
25 Te 0.2235 0.6730 0.0984
26 Te 0.7765 0.3270 0.9016
27 Te 0.3749 0.4254 0.0984
28 Te 0.4016 0.2765 0.3270
29 Te 0.0505 0.6251 0.7235
30 Te 0.8270 0.9016 0.2765
31 Te 0.0746 0.1730 0.4495
32 Te 0.0984 0.9254 0.3749
33 Te 0.6730 0.2235 0.5984
34 Te 0.0984 0.1730 0.2235
35 Te 0.9016 0.0746 0.6251
36 Te 0.2235 0.5505 0.6251
37 Te 0.9254 0.0984 0.8749
38 Te 0.8749 0.2765 0.4495
39 Te 0.7235 0.5984 0.1730
40 Te 0.8270 0.9254 0.0505
41 Te 0.4495 0.6730 0.0746
42 Te 0.1730 0.0746 0.9495
43 Te 0.9495 0.5746 0.1730
44 Te 0.3749 0.9495 0.7765
45 Te 0.0505 0.4254 0.8270
46 Te 0.6730 0.4495 0.5746
47 Te 0.2765 0.8749 0.9495
48 Te 0.9016 0.8270 0.7765
49 Te 0.5746 0.9495 0.6730
50 Te 0.3270 0.5505 0.4254
51 Te 0.4254 0.0505 0.3270
52 Te 0.5746 0.6251 0.4016
53 Te 0.5505 0.3270 0.9254
54 Te 0.7235 0.1251 0.0505
55 Te 0.0746 0.9016 0.1251
56 Te 0.1730 0.0984 0.7235
57 Te 0.3270 0.7765 0.4016
58 Te 0.4495 0.7765 0.8749
59 Te 0.1251 0.4016 0.0746
60 Te 0.9254 0.8270 0.5505
61 Te 0.7765 0.4495 0.3749
62 Te 0.4016 0.1251 0.5746
63 Te 0.2765 0.4016 0.8270
64 Te 0.6251 0.5746 0.9016
65 Te 0.4254 0.3749 0.5984
66 Te 0.9495 0.3749 0.2765
67 Te 0.1251 0.7235 0.5505
68 Te 0.5984 0.8749 0.4254
69 Hg 0.6250 0.3750 0.7500
70 Hg 0.7500 0.3750 0.1250
71 Hg 0.6250 0.2500 0.3750
72 Hg 0.7500 0.8750 0.6250
73 Hg 0.8750 0.7500 0.1250
74 Hg 0.2500 0.6250 0.8750
75 Hg 0.3750 0.7500 0.6250
76 Hg 0.3750 0.6250 0.2500
77 Hg 0.8750 0.1250 0.2500
78 Hg 0.1250 0.2500 0.8750
79 Hg 0.2500 0.1250 0.3750
80 Hg 0.1250 0.8750 0.7500

Computed properties:
- energy relative to the elements, uncorrected (eV/atom) = 0.171
- crystal system = cubic
- electronic total energy (eV for the cell shown) = -223.22
- DOS at the Fermi energy (states/eV per cell) = 59.26

=====

# Fe2CoIr

Crystalline Fe2CoIr at its relaxed geometry (PBE, Alexandria).

a b c (Å): 3.5037 3.5037 8.7121
angles (deg): 78.40 78.40 90.00
Site moments in Bohr magnetons follow the coordinates.
Fractional coordinates of all 8 atoms:
1 Fe 0.8750 0.8543 0.7500  1.55
2 Fe 0.1457 0.6250 0.2500  1.55
3 Fe 0.6043 0.1250 0.2500  1.55
4 Fe 0.3750 0.3957 0.7500  1.55
5 Co 0.5000 0.5000 0.0000  -1.04
6 Co 0.2500 0.7500 0.5000  -1.04
7 Ir 0.7500 0.2500 0.5000  -0.25
8 Ir 0.0000 0.0000 0.0000  -0.25

Computed properties:
- crystal system = tetragonal
- DFT formation energy (eV per atom) = 0.52
- electronic total energy (eV for the cell shown) = -61.63
- DOS at the Fermi energy (states/eV per cell) = 12.63

=====

# Ac2SmAl6

Crystalline Ac2SmAl6 at its relaxed geometry (PBE, Alexandria).

a b c (Å): 4.5357 7.7746 7.7746
angles (deg): 120.00 90.00 90.00
Fractional coordinates of all 9 atoms:
1 Al 0.5000 0.0000 0.6707
2 Al 0.5000 0.6707 0.6707
3 Al 0.5000 0.0000 0.3293
4 Al 0.5000 0.3293 0.3293
5 Al 0.5000 0.6707 0.0000
6 Al 0.5000 0.3293 0.0000
7 Sm 0.0000 0.0000 0.0000
8 Ac 0.0000 0.3333 0.6667
9 Ac 0.0000 0.6667 0.3333

Computed properties:
- crystal system = hexagonal
- DFT formation energy (eV per atom) = -0.39
- electronic total energy (eV for the cell shown) = -38.93
- DOS at the Fermi energy (states/eV per cell) = 7.93

=====

# AgSe

Crystalline AgSe at its relaxed geometry (PBE, Alexandria).

a b c (Å): 4.2206 4.2206 4.2206
angles (deg): 60.00 60.00 60.00
Fractional coordinates of all 2 atoms:
1 Ag 0.0000 0.0000 0.0000
2 Se 0.2500 0.2500 0.2500

Computed properties:
- energy relative to the elements, uncorrected (eV/atom) = 0.092
- crystal system = cubic
- electronic total energy (eV for the cell shown) = -6.15
- DOS at the Fermi energy (states/eV per cell) = 1.78

=====

# ReAu2Cl

Crystalline ReAu2Cl at its relaxed geometry (PBE, Alexandria).

a b c (Å): 8.9577 8.9577 8.9577
angles (deg): 19.43 19.43 19.43
Fractional coordinates of all 4 atoms:
1 Re 0.7500 0.7500 0.7500
2 Cl 0.2500 0.2500 0.2500
3 Au 0.0015 0.0015 0.0015
4 Au 0.4985 0.4985 0.4985

Computed properties:
- energy relative to the elements, uncorrected (eV/atom) = 0.482
- crystal system = trigonal
- energy above the lowest structure with this stoichiometry (kJ per mole of atoms) = 12.21
- electronic total energy (eV for the cell shown) = -18.92
- DOS at the Fermi energy (states/eV per cell) = 4.54

=====

# Sr2CoHgW

Crystalline Sr2CoHgW at its relaxed geometry (PBE, Alexandria).

a b c (Å): 6.0356 4.8034 6.0356
angles (deg): 90.00 90.00 90.00
Site moments in Bohr magnetons follow the coordinates.
Fractional coordinates of all 5 atoms:
1 Co 0.0000 0.5000 0.0000  1.68
2 Hg 0.0000 0.0000 0.0000  -0.04
3 Sr 0.0000 0.0000 0.5000  0.01
4 Sr 0.5000 0.0000 0.0000  0.01
5 W 0.5000 0.5000 0.5000  3.15

Computed properties:
- crystal system = tetragonal
- DFT formation energy (eV per atom) = 1.43
- electronic total energy (eV for the cell shown) = -16.56
- DOS at the Fermi energy (states/eV per cell) = 7.76

=====

# LiAl2In2Pt5

Crystalline LiAl2In2Pt5 at its relaxed geometry (PBE, Alexandria).

a b c (Å): 3.7359 9.4203 9.4203
angles (deg): 90.00 90.00 90.00
Fractional coordinates of all 20 atoms:
1 Pt 0.5000 0.8024 0.9240
2 Pt 0.5000 0.9240 0.1976
3 Pt 0.5000 0.0760 0.8024
4 Pt 0.5000 0.3024 0.5760
5 Pt 0.5000 0.1976 0.0760
6 Pt 0.5000 0.0000 0.5000
7 Pt 0.5000 0.4240 0.3024
8 Pt 0.5000 0.6976 0.4240
9 Pt 0.5000 0.5000 0.0000
10 Pt 0.5000 0.5760 0.6976
11 Al 0.0000 0.1297 0.6297
12 Al 0.0000 0.8703 0.3703
13 Al 0.0000 0.6297 0.8703
14 Al 0.0000 0.3703 0.1297
15 Li 0.0000 0.0000 0.0000
16 Li 0.0000 0.5000 0.5000
17 In 0.0000 0.3284 0.8284
18 In 0.0000 0.8284 0.6716
19 In 0.0000 0.6716 0.1716
20 In 0.0000 0.1716 0.3284

Computed properties:
- crystal system = tetragonal
- DFT formation energy (eV per atom) = -0.55
- electronic total energy (eV for the cell shown) = -101.20
- DOS at the Fermi energy (states/eV per cell) = 7.03

=====

# NaIr2F

Crystalline NaIr2F at its relaxed geometry (PBE, Alexandria).

a b c (Å): 4.3884 4.3884 4.3884
angles (deg): 60.00 60.00 60.00
Site moments in Bohr magnetons follow the coordinates.
Fractional coordinates of all 4 atoms:
1 F 0.0000 0.0000 0.0000  0.15
2 Na 0.5000 0.5000 0.5000  -0.01
3 Ir 0.7500 0.7500 0.7500  1.09
4 Ir 0.2500 0.2500 0.2500  1.09

Computed properties:
- energy relative to the elements, uncorrected (eV/atom) = 1.138
- crystal system = cubic
- energy above the lowest structure with this stoichiometry (kJ per mole of atoms) = 45.38
- electronic total energy (eV for the cell shown) = -16.36
- DOS at the Fermi energy (states/eV per cell) = 3.84

=====

# KLaZr2Ni

Crystalline KLaZr2Ni at its relaxed geometry (PBE, Alexandria).

a b c (Å): 5.2337 5.7425 5.2337
angles (deg): 90.00 90.00 90.00
Fractional coordinates of all 5 atoms:
1 Zr 0.5000 0.0000 0.0000
2 Zr 0.0000 0.0000 0.5000
3 Ni 0.5000 0.5000 0.5000
4 La 0.0000 0.0000 0.0000
5 K 0.0000 0.5000 0.0000

Computed properties:
- crystal system = tetragonal
- DFT formation energy (eV per atom) = 1.70
- electronic total energy (eV for the cell shown) = -20.43
- DOS at the Fermi energy (states/eV per cell) = 3.49

=====

# CsSeBr3

Crystalline CsSeBr3 at its relaxed geometry (PBE, Alexandria).

a b c (Å): 5.2919 5.2919 17.7153
angles (deg): 90.00 90.00 120.00
Fractional coordinates of all 10 atoms:
1 Br 0.6667 0.3333 0.1050
2 Br 0.0000 0.0000 0.7500
3 Br 0.3333 0.6667 0.6050
4 Br 0.3333 0.6667 0.8950
5 Br 0.6667 0.3333 0.3950
6 Br 0.0000 0.0000 0.2500
7 Se 0.6667 0.3333 0.2500
8 Se 0.3333 0.6667 0.7500
9 Cs 0.0000 0.0000 0.0000
10 Cs 0.0000 0.0000 0.5000

Computed properties:
- energy relative to the elements, uncorrected (eV/atom) = -0.622
- crystal system = hexagonal
- electronic total energy (eV for the cell shown) = -24.94
- DOS at the Fermi energy (states/eV per cell) = 0.15

=====

# KCaSi2

Crystalline KCaSi2 at its relaxed geometry (PBE, Alexandria).

a b c (Å): 5.2283 5.2283 5.2283
angles (deg): 60.00 60.00 60.00
Fractional coordinates of all 4 atoms:
1 Si 0.2500 0.2500 0.2500
2 Si 0.0000 0.0000 0.0000
3 K 0.7500 0.7500 0.7500
4 Ca 0.5000 0.5000 0.5000

Computed properties:
- energy relative to the elements, uncorrected (eV/atom) = 0.414
- crystal system = cubic
- energy above the lowest structure with this stoichiometry (kJ per mole of atoms) = 56.24
- electronic total energy (eV for the cell shown) = -12.29
- DOS at the Fermi energy (states/eV per cell) = 2.42